! GGA-PBE Cs2Tb2O5, relaxed; values from VASP
&SYSTEM
  ibrav = 0, nat = 9, ntyp = 3
/
ATOMIC_SPECIES
O 16.00 O.upf
Cs 132.91 Cs.upf
Tb 158.93 Tb.upf
CELL_PARAMETERS angstrom
7.403 0.000 0.000
0.000 4.636 0.000
0.000 0.000 4.636
ATOMIC_POSITIONS crystal
O 0.253 0.000 0.500
O 0.747 0.500 0.000
O 0.747 0.000 0.500
O 0.253 0.500 0.000
O 0.500 0.500 0.500
Cs 0.803 0.500 0.500
Cs 0.197 0.500 0.500
Tb 0.500 0.000 0.000
Tb 0.000 0.000 0.000
! Calculated total energy (eV per formula unit): -39.697
! V (Å³/atom): 17.7
! Magnetization (μB per cell): 0.0